1.
## PrSm5Dy3 (GGA-PBE)

Data for a geometry-optimized PrSm5Dy3 structure.

Structure (CIF):
```
data_PrSm5Dy3
_cell_length_a 16.991
_cell_length_b 8.188
_cell_length_c 12.399
_cell_angle_alpha 90.00
_cell_angle_beta 131.24
_cell_angle_gamma 90.00
_symmetry_space_group_name_H-M 'C 1 2/m 1'
_symmetry_Int_Tables_number 12
loop_
_symmetry_equiv_pos_as_xyz
'x,y,z'
'-x,-y,-z'
'-x,y,-z'
'x,-y,z'
'x+1/2,y+1/2,z'
'-x+1/2,-y+1/2,-z'
'-x+1/2,y+1/2,-z'
'x+1/2,-y+1/2,z'
loop_
_atom_site_label
_atom_site_fract_x
_atom_site_fract_y
_atom_site_fract_z
_atom_site_occupancy
Pr1 0.238 0.000 0.134 1
Sm1 0.000 0.319 0.000 1
Sm2 0.063 0.202 0.777 1
Sm3 0.132 0.000 0.574 1
Sm4 0.196 0.500 0.063 1
Dy1 0.000 0.000 0.000 1
Dy2 0.000 0.500 0.500 1
Dy3 0.113 0.500 0.314 1
Dy4 0.175 0.000 0.342 1
```

Results
Crystal system = monoclinic
VASP energy = -4.2812 eV per atom

---

2.
## CsCa2Ag2 (GGA-PBE)

Data for a geometry-optimized CsCa2Ag2 structure.

Structure (CIF):
```
data_CsCa2Ag2
_cell_length_a 5.236
_cell_length_b 5.236
_cell_length_c 13.259
_cell_angle_alpha 90.00
_cell_angle_beta 90.00
_cell_angle_gamma 90.00
_symmetry_space_group_name_H-M 'I 4/m m m'
_symmetry_Int_Tables_number 139
_symmetry_space_group_name_Hall '-I 4 2'
loop_
_atom_site_label
_atom_site_fract_x
_atom_site_fract_y
_atom_site_fract_z
_atom_site_occupancy
Cs1 0.000 0.000 0.000 1
Ca1 0.000 0.500 0.250 1
Ag1 0.000 0.000 0.388 1
```

Results
Crystal system = tetragonal
VASP energy = -2.1595 eV per atom

---

Among the records above, which one has the highest VASP energy?
CsCa2Ag2

---

What did the first record say?
## PrSm5Dy3 (GGA-PBE)

Data for a geometry-optimized PrSm5Dy3 structure.

Structure (CIF):
```
data_PrSm5Dy3
_cell_length_a 16.991
_cell_length_b 8.188
_cell_length_c 12.399
_cell_angle_alpha 90.00
_cell_angle_beta 131.24
_cell_angle_gamma 90.00
_symmetry_space_group_name_H-M 'C 1 2/m 1'
_symmetry_Int_Tables_number 12
loop_
_symmetry_equiv_pos_as_xyz
'x,y,z'
'-x,-y,-z'
'-x,y,-z'
'x,-y,z'
'x+1/2,y+1/2,z'
'-x+1/2,-y+1/2,-z'
'-x+1/2,y+1/2,-z'
'x+1/2,-y+1/2,z'
loop_
_atom_site_label
_atom_site_fract_x
_atom_site_fract_y
_atom_site_fract_z
_atom_site_occupancy
Pr1 0.238 0.000 0.134 1
Sm1 0.000 0.319 0.000 1
Sm2 0.063 0.202 0.777 1
Sm3 0.132 0.000 0.574 1
Sm4 0.196 0.500 0.063 1
Dy1 0.000 0.000 0.000 1
Dy2 0.000 0.500 0.500 1
Dy3 0.113 0.500 0.314 1
Dy4 0.175 0.000 0.342 1
```

Results
Crystal system = monoclinic
VASP energy = -4.2812 eV per atom